A plane-wave DFT calculation with GGA-PBE was carried out for an optimized crystal structure of YAg3.

It has space group I4/mmm (No. 139), with a = 4.5041 Å, b = 4.5041 Å, c = 8.1849 Å, α = 90.00°, β = 90.00° and γ = 90.00°. The distinct sites, in fractional coordinates, are Y at (0.0000, 0.0000, 0.0000), Ag at (0.0000, 0.0000, 0.5000) and Ag at (0.0000, 0.5000, 0.2500).

As for the energy of formation: -0.9 eV per formula unit. The calculation puts the total magnetization at 0.00 μB/cell. As for the total energy: -31.74 eV per cell. The value obtained for the density of states at the Fermi level is 2.9 states/eV/f.u.



A plane-wave DFT calculation with GGA-PBE was carried out for an optimized crystal structure of CaGdTc4.

It has space group F-43m (No. 216), with a = 7.6599 Å, b = 7.6599 Å, c = 7.6599 Å, α = 90.00°, β = 90.00° and γ = 90.00°. The distinct sites, in fractional coordinates, are Ca at (0.0000, 0.0000, 0.0000), Gd at (0.2500, 0.2500, 0.7500) and Tc at (0.1250, 0.1250, 0.3750).

As for the energy of formation: 0.5 eV per formula unit. The calculation puts the total magnetization at 27.09 μB/cell. As for the total energy: -228.22 eV per cell. The value obtained for the density of states at the Fermi level is 5.5 states/eV/f.u.